[1]
The following is a DFT calculation (GGA-PBE) of an optimized crystal structure of TbNd3Sm8.

## Properties
Its volume is 410.3 Å³/cell. As for the final energy: -55.32 eV per cell. Its formation energy from the elements is 0.114 eV per atom.

a = 9.0059 Å, b = 9.0202 Å, c = 9.0059 Å
α = 74.96°, β = 121.17°, γ = 137.82°
Fractional coordinates of all 12 atoms:
Tb  0.8557  0.0000  0.8557
Sm  0.4230  0.4259  0.3381
Sm  0.9189  0.8220  0.2353
Sm  0.4133  0.1780  0.0969
Nd  0.9728  0.5000  0.4728
Nd  0.5374  0.1376  0.6545
Sm  0.2924  0.6116  0.9330
Sm  0.0122  0.8460  0.6696
Sm  0.8237  0.1540  0.1663
Sm  0.9122  0.5741  0.9971
Sm  0.3214  0.3884  0.6808
Nd  0.5169  0.8624  0.3997

***

[2]
The following is a DFT calculation (GGA-PBE) of an optimized crystal structure of Tb4Nd3Sm2.

## Properties
Its volume is 599.7 Å³/cell. As for the final energy: -82.86 eV per cell. Its formation energy from the elements is 0.093 eV per atom. The value obtained for the offset from the most stable computed form is 78 meV/atom.

a = 6.1698 Å, b = 11.4119 Å, c = 11.4119 Å
α = 61.87°, β = 62.81°, γ = 62.81°
Fractional coordinates of all 18 atoms:
Tb  0.4220  0.9096  0.1854
Sm  0.9217  0.5177  0.2412
Tb  0.4177  0.5782  0.8538
Nd  0.2500  0.6006  0.3994
Nd  0.2422  0.9343  0.7343
Nd  0.7578  0.0657  0.2657
Tb  0.9177  0.8538  0.5782
Tb  0.9220  0.1854  0.9096
Tb  0.0823  0.1462  0.4218
Tb  0.5780  0.0904  0.8146
Tb  0.0780  0.8146  0.0904
Nd  0.7422  0.7343  0.9343
Nd  0.2578  0.2657  0.0657
Sm  0.0783  0.4823  0.7588
Sm  0.4217  0.2412  0.5177
Sm  0.5783  0.7588  0.4823
Nd  0.7500  0.3994  0.6006
Tb  0.5823  0.4218  0.1462

***

[3]
The following is a DFT calculation (GGA-PBE) of an optimized crystal structure of Tb7Nd2Sm.

## Properties
Its volume is 327.4 Å³/cell. As for the final energy: -46.50 eV per cell. Its formation energy from the elements is 0.016 eV per atom.

a = 6.2210 Å, b = 9.4950 Å, c = 9.5023 Å
α = 141.79°, β = 109.04°, γ = 77.39°
Fractional coordinates of all 10 atoms:
Tb  0.5001  0.3007  0.2011
Tb  0.0005  0.4013  0.6016
Tb  0.5000  0.5000  0.0000
Tb  0.9988  0.7986  0.1986
Tb  0.0012  0.2014  0.8014
Tb  0.4999  0.6993  0.7989
Nd  0.5002  0.1003  0.4001
Tb  0.9995  0.5987  0.3984
Sm  0.0000  0.0000  0.0000
Nd  0.4998  0.8997  0.5999

***

[4]
The following is a DFT calculation (GGA-PBE) of an optimized crystal structure of Tb6Nd10Sm.

## Properties
Its volume is 587.8 Å³/cell. As for the final energy: -78.02 eV per cell. Its formation energy from the elements is 0.127 eV per atom.

a = 6.9472 Å, b = 9.8840 Å, c = 9.8840 Å
α = 120.00°, β = 90.00°, γ = 90.00°
Fractional coordinates of all 17 atoms:
Nd  0.1841  0.2747  0.2747
Nd  0.0000  0.6667  0.3333
Nd  0.8159  0.2747  0.0000
Sm  0.5000  0.0000  0.0000
Nd  0.8159  0.7253  0.7253
Nd  0.5000  0.3333  0.6667
Tb  0.6938  0.0000  0.6277
Tb  0.3062  0.3723  0.0000
Tb  0.6938  0.6277  0.0000
Nd  0.8159  0.0000  0.2747
Tb  0.3062  0.6277  0.6277
Nd  0.1841  0.0000  0.7253
Tb  0.3062  0.0000  0.3723
Nd  0.5000  0.6667  0.3333
Tb  0.6938  0.3723  0.3723
Nd  0.1841  0.7253  0.0000
Nd  0.0000  0.3333  0.6667

***

[5]
The following is a DFT calculation (GGA-PBE) of an optimized crystal structure of Tb5NdSm4.

## Properties
Its volume is 344.1 Å³/cell. As for the final energy: -44.95 eV per cell. Its formation energy from the elements is 0.184 eV per atom. The value obtained for the offset from the most stable computed form is 0 meV/atom.

a = 3.5606 Å, b = 11.1487 Å, c = 8.8503 Å
α = 90.10°, β = 101.67°, γ = 90.06°
Fractional coordinates of all 10 atoms:
Tb  0.1739  0.9451  0.3493
Sm  0.9707  0.2518  0.9416
Nd  0.5000  0.0000  0.0000
Sm  0.6550  0.2499  0.3069
Tb  0.1742  0.5511  0.3470
Sm  0.3450  0.7501  0.6931
Tb  0.8261  0.0549  0.6507
Sm  0.0293  0.7482  0.0584
Tb  0.5000  0.5000  0.0000
Tb  0.8258  0.4489  0.6530

***

[6]
The following is a DFT calculation (GGA-PBE) of an optimized crystal structure of TbNd4Sm5.

## Properties
Its volume is 684.5 Å³/cell. As for the final energy: -91.02 eV per cell. Its formation energy from the elements is 0.179 eV per atom. The value obtained for the offset from the most stable computed form is 6 meV/atom.

a = 5.8395 Å, b = 10.8278 Å, c = 10.8255 Å
α = 90.00°, β = 90.00°, γ = 90.00°
Fractional coordinates of all 20 atoms:
Sm  0.1660  0.8379  0.1621
Nd  0.6329  0.2942  0.0000
Sm  0.8340  0.3379  0.3379
Sm  0.0001  0.0000  0.5000
Nd  0.3671  0.5000  0.7943
Nd  0.3671  0.2058  0.5000
Sm  0.1660  0.1621  0.1621
Sm  0.1660  0.1621  0.8379
Sm  0.8340  0.3379  0.6621
Sm  0.8340  0.6621  0.6621
Nd  0.3671  0.7942  0.5000
Nd  0.3671  0.5000  0.2057
Tb  0.6329  0.0000  0.0000
Nd  0.6329  0.0000  0.7057
Sm  0.8340  0.6621  0.3379
Nd  0.6329  0.0000  0.2943
Sm  0.1660  0.8379  0.8379
Nd  0.6329  0.7058  0.0000
Sm  0.9999  0.5000  0.0000
Tb  0.3671  0.5000  0.5000

***

[7]
The following is a DFT calculation (GGA-PBE) of an optimized crystal structure of TbNdSm.

## Properties
Its volume is 100.7 Å³/cell. As for the final energy: -14.07 eV per cell. Its formation energy from the elements is 0.015 eV per atom. The value obtained for the offset from the most stable computed form is 0 meV/atom.

a = 3.6218 Å, b = 3.6218 Å, c = 8.8666 Å
α = 90.00°, β = 90.00°, γ = 120.00°
Fractional coordinates of all 3 atoms:
Nd  0.3333  0.6667  0.6644
Sm  0.0000  0.0000  0.0039
Tb  0.6667  0.3333  0.3318

***

[8]
The following is a DFT calculation (GGA-PBE) of an optimized crystal structure of TbNdSm5.

## Properties
Its volume is 295.2 Å³/cell. As for the final energy: -26.87 eV per cell. Its formation energy from the elements is 0.875 eV per atom. The value obtained for the offset from the most stable computed form is 704 meV/atom.

a = 6.2575 Å, b = 8.0141 Å, c = 7.7774 Å
α = 121.01°, β = 113.72°, γ = 90.00°
Fractional coordinates of all 7 atoms:
Sm  0.1674  0.5000  0.0000
Sm  0.6831  0.7479  0.4957
Sm  0.4324  0.1798  0.0000
Sm  0.4324  0.8202  0.0000
Nd  0.9311  0.0000  0.0000
Tb  0.6970  0.5000  0.0000
Sm  0.1874  0.2521  0.5043

***

[9]
The following is a DFT calculation (GGA-PBE) of an optimized crystal structure of Tb3Nd3Sm4.

## Properties
Its volume is 341.9 Å³/cell. As for the final energy: -46.01 eV per cell. Its formation energy from the elements is 0.106 eV per atom.

a = 3.7759 Å, b = 9.5165 Å, c = 9.5165 Å
α = 90.32°, β = 90.00°, γ = 90.00°
Fractional coordinates of all 10 atoms:
Sm  0.0000  0.6283  0.3717
Nd  0.5000  0.8285  0.1715
Tb  0.0000  0.0018  0.5038
Sm  0.0000  0.3706  0.6294
Nd  0.5000  0.6714  0.6724
Sm  0.0000  0.1293  0.1257
Nd  0.5000  0.3276  0.3286
Tb  0.0000  0.4962  0.9982
Tb  0.5000  0.1720  0.8280
Sm  0.0000  0.8743  0.8707

***

[10]
The following is a DFT calculation (GGA-PBE) of an optimized crystal structure of TbNd4Sm4.

## Properties
Its volume is 308.1 Å³/cell. As for the final energy: -42.45 eV per cell. Its formation energy from the elements is 0.014 eV per atom.

a = 5.1618 Å, b = 8.1480 Å, c = 9.6234 Å
α = 53.77°, β = 74.48°, γ = 71.62°
Fractional coordinates of all 9 atoms:
Tb  0.5000  0.0000  0.0000
Nd  0.2780  0.1103  0.3336
Nd  0.7220  0.8897  0.6664
Sm  0.3896  0.5532  0.6675
Sm  0.9450  0.7764  0.3336
Sm  0.0550  0.2236  0.6664
Nd  0.1656  0.6691  0.9996
Sm  0.6104  0.4468  0.3325
Nd  0.8344  0.3309  0.0004

***

Copy entry 8 word for word.
The following is a DFT calculation (GGA-PBE) of an optimized crystal structure of TbNdSm5.

## Properties
Its volume is 295.2 Å³/cell. As for the final energy: -26.87 eV per cell. Its formation energy from the elements is 0.875 eV per atom. The value obtained for the offset from the most stable computed form is 704 meV/atom.

a = 6.2575 Å, b = 8.0141 Å, c = 7.7774 Å
α = 121.01°, β = 113.72°, γ = 90.00°
Fractional coordinates of all 7 atoms:
Sm  0.1674  0.5000  0.0000
Sm  0.6831  0.7479  0.4957
Sm  0.4324  0.1798  0.0000
Sm  0.4324  0.8202  0.0000
Nd  0.9311  0.0000  0.0000
Tb  0.6970  0.5000  0.0000
Sm  0.1874  0.2521  0.5043